(1)
Below is TlZnSi at its PBEsol-relaxed geometry, with properties calculated at the meta-GGA SCAN level.

The structure in POSCAR format:
```
TlZnSi
1.0
-1.792 0.449 2.919
1.438 -3.064 -0.690
4.859 1.666 2.727
Tl Si Zn
1 1 1
Cartesian
2.519 0.387 3.531 Tl
0.170 0.058 0.096 Si
1.815 -1.395 1.329 Zn
```

Results
**SG**: P3m1, No. 156
**DOS at the Fermi energy**: 0.3657 states/eV per atom
**Raw formation energy**: 0.47 eV/atom
**ΔE to the lowest computed polymorph**: 0.0 meV per atom
**ρ**: 8.2 g/cm³

(2)
Below is Ti4FeP6O24 at its PBEsol-relaxed geometry, with properties calculated at the meta-GGA SCAN level.

The structure in POSCAR format:
```
Ti4FeP6O24
1.0
8.617 0.000 0.000
4.308 7.462 0.000
4.308 2.487 6.778
O Ti P Fe
24 4 6 1
Cartesian
13.694 6.070 6.392 O
4.856 3.880 5.259 O
11.329 7.560 3.882 O
9.544 6.288 5.008 O
3.426 1.154 2.895 O
11.335 7.492 6.392 O
9.549 8.779 5.259 O
13.746 8.825 6.392 O
13.638 6.032 3.882 O
3.539 3.880 0.386 O
13.808 8.795 3.882 O
3.595 3.918 2.895 O
5.788 7.684 1.519 O
7.685 1.171 1.519 O
11.445 2.265 5.259 O
7.689 3.662 1.770 O
3.487 1.125 0.386 O
12.377 6.070 1.519 O
10.218 4.828 1.770 O
9.290 3.515 5.008 O
5.899 2.458 0.386 O
5.904 2.390 2.895 O
7.943 6.435 1.770 O
7.016 5.122 5.008 O
8.617 4.975 0.746 Ti
4.308 2.487 3.871 Ti
12.925 7.462 2.907 Ti
8.617 4.975 6.032 Ti
5.504 5.301 5.159 P
11.730 4.648 1.619 P
9.891 2.116 5.159 P
10.456 7.508 5.159 P
7.343 7.834 1.619 P
6.778 2.442 1.619 P
0.000 0.000 0.000 Fe
```

Results
**SG**: R-3, No. 148
**Raw formation energy**: -2.74 eV/atom
**ρ**: 3.1 g/cm³

(3)
Below is Y2ZnRu at its PBEsol-relaxed geometry, with properties calculated at the meta-GGA SCAN level.

The structure in POSCAR format:
```
Y2ZnRu
1.0
3.824 0.000 0.000
0.000 4.264 0.000
-1.912 0.000 5.213
Ru Y Zn
1 2 1
Cartesian
1.912 2.132 1.805 Ru
0.000 2.132 4.057 Y
0.000 0.000 1.111 Y
1.912 0.000 3.294 Zn
```

Results
**SG**: Amm2, No. 38
**DOS at the Fermi energy**: 0.8754 states/eV per atom
**Energy of formation from the pure elements**: -0.42 eV/atom
**ρ**: 6.7 g/cm³

(4)
Below is NiTeN2F at its PBEsol-relaxed geometry, with properties calculated at the meta-GGA SCAN level.

The structure in POSCAR format:
```
NiTeN2F
1.0
4.005 0.000 0.000
0.000 4.005 0.000
0.000 0.000 4.077
Ni Te N F
1 1 2 1
Cartesian
2.002 2.002 2.038 Ni
0.000 0.000 0.000 Te
0.000 2.002 0.000 N
2.002 0.000 0.000 N
0.000 0.000 2.038 F
```

Results
**SG**: P4/mmm, No. 123
**DOS at the Fermi energy**: 0.6713 states/eV per atom
**Raw formation energy**: 1.05 eV/atom
**ρ**: 5.9 g/cm³